Arrangement one

ScAs2H after structural relaxation, computed with PBE-GGA.

Computed properties:
SG   Fm-3m (225)

Lattice parameters (Å, degrees): 4.5724 4.5724 4.5724 60.00 60.00 60.00
Fractional positions:
Sc: 0.5000 0.5000 0.5000
H: 0.0000 0.0000 0.0000
As: 0.2500 0.2500 0.2500
As: 0.7500 0.7500 0.7500

=====

Arrangement two

ScAs2H after structural relaxation, computed with PBE-GGA.

Computed properties:
SG   I-42d (122)

Lattice parameters (Å, degrees): 6.1989 6.1989 5.4375 55.25 55.25 90.00
Fractional positions:
Sc: 0.0000 0.0000 0.0000
Sc: 0.7500 0.2500 0.5000
H: 0.5000 0.5000 0.0000
H: 0.2500 0.7500 0.5000
As: 0.5263 0.1250 0.2500
As: 0.2237 0.6250 0.2500
As: 0.3750 0.4737 0.7500
As: 0.8750 0.7763 0.7500

=====

Going by the energies, arrangement two is most stable and the next is 408 meV per atom up.

=====

Arrangement one

ScAsHSe2 after structural relaxation, computed with PBE-GGA.

Computed properties:
SG   P4/mmm (123)

Lattice parameters (Å, degrees): 4.9096 4.9096 3.5119 90.00 90.00 90.00
Fractional positions:
Sc: 0.5000 0.5000 0.5000
H: 0.0000 0.0000 0.0000
As: 0.0000 0.0000 0.5000
Se: 0.0000 0.5000 0.0000
Se: 0.5000 0.0000 0.0000

=====

Arrangement two

ScAsHSe2 after structural relaxation, computed with PBE-GGA.

Computed properties:
SG   P4/mmm (123)

Lattice parameters (Å, degrees): 5.1412 5.1412 5.2271 90.00 90.00 90.00
Fractional positions:
Sc: 0.0000 0.0000 0.0000
H: 0.5000 0.5000 0.5000
As: 0.0000 0.0000 0.5000
Se: 0.0000 0.5000 0.0000
Se: 0.5000 0.0000 0.0000

=====

Going by the energies, arrangement one is most stable and the next is 492 meV per atom up.

=====

Arrangement one

As3HSe after structural relaxation, computed with PBE-GGA.

Computed properties:
SG   Pm-3m (221)

Lattice parameters (Å, degrees): 4.3405 4.3405 4.3405 90.00 90.00 90.00
Fractional positions:
H: 0.0000 0.0000 0.0000
As: 0.0000 0.5000 0.0000
As: 0.0000 0.0000 0.5000
As: 0.5000 0.0000 0.0000
Se: 0.5000 0.5000 0.5000

=====

Arrangement two

As3HSe after structural relaxation, computed with PBE-GGA.

Computed properties:
SG   Pm-3m (221)

Lattice parameters (Å, degrees): 5.0877 5.0877 5.0877 90.00 90.00 90.00
Fractional positions:
H: 0.5000 0.5000 0.5000
As: 0.0000 0.5000 0.0000
As: 0.0000 0.0000 0.5000
As: 0.5000 0.0000 0.0000
Se: 0.0000 0.0000 0.0000

=====

Going by the energies, arrangement one is most stable and the next is 652 meV per atom up.

=====

Arrangement one

As2HSe after structural relaxation, computed with PBE-GGA.

Computed properties:
SG   I-42d (122)

Lattice parameters (Å, degrees): 5.4093 5.4093 6.3499 64.79 64.79 90.00
Fractional positions:
H: 0.5000 0.5000 0.0000
H: 0.2500 0.7500 0.5000
As: 0.5182 0.1250 0.2500
As: 0.2318 0.6250 0.2500
As: 0.3750 0.4818 0.7500
As: 0.8750 0.7682 0.7500
Se: 0.0000 0.0000 0.0000
Se: 0.7500 0.2500 0.5000

=====

Arrangement two

As2HSe after structural relaxation, computed with PBE-GGA.

Computed properties:
SG   Fm-3m (225)

Lattice parameters (Å, degrees): 4.5460 4.5460 4.5460 60.00 60.00 60.00
Fractional positions:
H: 0.0000 0.0000 0.0000
As: 0.2500 0.2500 0.2500
As: 0.7500 0.7500 0.7500
Se: 0.5000 0.5000 0.5000

=====

Going by the energies, arrangement one is most stable and the next is 232 meV per atom up.